[1]
The following is a GGA-PBE calculation of a relaxed TiHgW3 crystal, from Alexandria.

raw total energy = -37.7 eV per cell
relative energy among the computed polymorphs = 0.00 eV per formula unit
M_tot = 0.0 μB per formula unit
energy of formation from the pure elements = 1878 meV/atom
calculated volume = 98.3 Å³ per cell

a = 4.6151 Å, b = 4.6151 Å, c = 4.6151 Å
α = 90.00°, β = 90.00°, γ = 90.00°
Space group Pm-3m (No. 221)
One atom of each set of equivalent atoms:
1 Ti 0.0000 0.0000 0.0000 x1
2 Hg 0.5000 0.5000 0.5000 x1
3 W 0.0000 0.0000 0.5000 x3

***

[2]
The following is a GGA-PBE calculation of a relaxed TiHg2W crystal, from Alexandria.

raw total energy = -72.9 eV per cell
relative energy among the computed polymorphs = 0.66 eV per formula unit
M_tot = 0.0 μB per formula unit
energy of formation from the pure elements = 805 meV/atom
calculated volume = 322.9 Å³ per cell

a = 3.9611 Å, b = 3.9611 Å, c = 20.5766 Å
α = 90.00°, β = 90.00°, γ = 90.00°
Space group I-42d (No. 122)
One atom of each set of equivalent atoms:
1 Ti 0.0000 0.0000 0.0000 x4
2 Hg 0.2461 0.2500 0.6250 x8
3 W 0.0000 0.0000 0.5000 x4

***

[3]
The following is a GGA-PBE calculation of a relaxed TiHgW3 crystal, from Alexandria.

raw total energy = -32.3 eV per cell
relative energy among the computed polymorphs = 5.36 eV per formula unit
M_tot = 0.0 μB per formula unit
energy of formation from the pure elements = 2950 meV/atom
calculated volume = 116.8 Å³ per cell

a = 4.8876 Å, b = 4.8876 Å, c = 4.8876 Å
α = 90.00°, β = 90.00°, γ = 90.00°
Space group Pm-3m (No. 221)
One atom of each set of equivalent atoms:
1 Ti 0.0000 0.0000 0.0000 x1
2 Hg 0.5000 0.5000 0.5000 x1
3 W 0.0000 0.5000 0.5000 x3

***

[4]
The following is a GGA-PBE calculation of a relaxed TiHg2W crystal, from Alexandria.

raw total energy = -75.6 eV per cell
relative energy among the computed polymorphs = 0.00 eV per formula unit
M_tot = 0.0 μB per formula unit
energy of formation from the pure elements = 640 meV/atom
calculated volume = 293.8 Å³ per cell

a = 6.6479 Å, b = 6.6479 Å, c = 6.6479 Å
α = 90.00°, β = 90.00°, γ = 90.00°
Space group Fm-3m (No. 225)
One atom of each set of equivalent atoms:
1 Ti 0.0000 0.0000 0.0000 x4
2 Hg 0.2500 0.2500 0.2500 x8
3 W 0.0000 0.0000 0.5000 x4

***

[5]
The following is a GGA-PBE calculation of a relaxed TiHg3W crystal, from Alexandria.

raw total energy = -14.5 eV per cell
relative energy among the computed polymorphs = 0.00 eV per formula unit
M_tot = 0.0 μB per formula unit
energy of formation from the pure elements = 1450 meV/atom
calculated volume = 139.5 Å³ per cell

a = 5.1859 Å, b = 5.1859 Å, c = 5.1859 Å
α = 90.00°, β = 90.00°, γ = 90.00°
Space group Pm-3m (No. 221)
One atom of each set of equivalent atoms:
1 Ti 0.0000 0.0000 0.0000 x1
2 Hg 0.0000 0.5000 0.5000 x3
3 W 0.5000 0.5000 0.5000 x1

***

[6]
The following is a GGA-PBE calculation of a relaxed Ti3HgW crystal, from Alexandria.

raw total energy = -32.7 eV per cell
relative energy among the computed polymorphs = 0.00 eV per formula unit
M_tot = 0.6 μB per formula unit
energy of formation from the pure elements = 838 meV/atom
calculated volume = 110.4 Å³ per cell

a = 4.7974 Å, b = 4.7974 Å, c = 4.7974 Å
α = 90.00°, β = 90.00°, γ = 90.00°
Space group Pm-3m (No. 221)
One atom of each set of equivalent atoms:
1 Ti 0.0000 0.0000 0.5000 x3
2 Hg 0.5000 0.5000 0.5000 x1
3 W 0.0000 0.0000 0.0000 x1

***

[7]
The following is a GGA-PBE calculation of a relaxed Ti3HgW crystal, from Alexandria.

raw total energy = -28.2 eV per cell
relative energy among the computed polymorphs = 4.54 eV per formula unit
M_tot = 0.0 μB per formula unit
energy of formation from the pure elements = 1746 meV/atom
calculated volume = 113.4 Å³ per cell

a = 4.8399 Å, b = 4.8399 Å, c = 4.8399 Å
α = 90.00°, β = 90.00°, γ = 90.00°
Space group Pm-3m (No. 221)
One atom of each set of equivalent atoms:
1 Ti 0.0000 0.0000 0.5000 x3
2 Hg 0.0000 0.0000 0.0000 x1
3 W 0.5000 0.5000 0.5000 x1

***

[8]
The following is a GGA-PBE calculation of a relaxed Y2Ti2Hg crystal, from Alexandria.

raw total energy = -57.3 eV per cell
M_tot = 1.3 μB per formula unit
energy of formation from the pure elements = 70 meV/atom
calculated volume = 240.0 Å³ per cell

a = 7.2133 Å, b = 7.2133 Å, c = 4.6121 Å
α = 90.00°, β = 90.00°, γ = 90.00°
Space group P4/mbm (No. 127)
One atom of each set of equivalent atoms:
1 Y 0.1658 0.3342 0.0000 x4
2 Ti 0.1304 0.6304 0.5000 x4
3 Hg 0.0000 0.0000 0.5000 x2

***

[9]
The following is a GGA-PBE calculation of a relaxed Y3TiHg crystal, from Alexandria.

raw total energy = -24.5 eV per cell
relative energy among the computed polymorphs = 0.80 eV per formula unit
M_tot = 4.3 μB per formula unit
energy of formation from the pure elements = 615 meV/atom
calculated volume = 176.5 Å³ per cell

a = 5.6091 Å, b = 5.6091 Å, c = 5.6091 Å
α = 90.00°, β = 90.00°, γ = 90.00°
Space group Pm-3m (No. 221)
One atom of each set of equivalent atoms:
1 Y 0.0000 0.0000 0.5000 x3
2 Ti 0.5000 0.5000 0.5000 x1
3 Hg 0.0000 0.0000 0.0000 x1

***

[10]
The following is a GGA-PBE calculation of a relaxed YTiHg crystal, from Alexandria.

raw total energy = -30.2 eV per cell
M_tot = 1.3 μB per formula unit
energy of formation from the pure elements = -153 meV/atom
calculated volume = 143.0 Å³ per cell

a = 4.2949 Å, b = 4.2949 Å, c = 7.7505 Å
α = 90.00°, β = 90.00°, γ = 90.00°
Space group P4/nmm (No. 129, origin choice 2)
One atom of each set of equivalent atoms:
1 Y 0.2500 0.2500 0.1539 x2
2 Ti 0.2500 0.7500 0.5000 x2
3 Hg 0.2500 0.2500 0.7499 x2

***

[11]
The following is a GGA-PBE calculation of a relaxed Y3TiHg crystal, from Alexandria.

raw total energy = -25.3 eV per cell
relative energy among the computed polymorphs = 0.00 eV per formula unit
M_tot = 0.0 μB per formula unit
energy of formation from the pure elements = 455 meV/atom
calculated volume = 152.8 Å³ per cell

a = 5.3462 Å, b = 5.3462 Å, c = 5.3462 Å
α = 90.00°, β = 90.00°, γ = 90.00°
Space group Pm-3m (No. 221)
One atom of each set of equivalent atoms:
1 Y 0.0000 0.0000 0.5000 x3
2 Ti 0.0000 0.0000 0.0000 x1
3 Hg 0.5000 0.5000 0.5000 x1

***

[12]
The following is a GGA-PBE calculation of a relaxed YZr2TiHg crystal, from Alexandria.

raw total energy = -29.8 eV per cell
M_tot = 0.0 μB per formula unit
energy of formation from the pure elements = 397 meV/atom
calculated volume = 127.8 Å³ per cell

a = 4.8677 Å, b = 4.8677 Å, c = 5.3937 Å
α = 90.00°, β = 90.00°, γ = 90.00°
Space group P4/mmm (No. 123)
One atom of each set of equivalent atoms:
1 Y 0.0000 0.0000 0.0000 x1
2 Zr 0.0000 0.5000 0.5000 x2
3 Ti 0.5000 0.5000 0.5000 x1
4 Hg 0.5000 0.5000 0.0000 x1

***

| no. | N(E_F) (states/eV/atom) |
| --- | --- |
| 1 | 0.378 |
| 2 | 0.606 |
| 3 | 1.827 |
| 4 | 1.341 |
| 5 | 0.744 |
| 6 | 1.872 |
| 7 | 2.069 |
| 8 | 1.315 |
| 9 | 2.725 |
| 10 | 1.355 |
| 11 | 1.660 |
| 12 | 0.850 |